1.
TbGdRu after structural relaxation. Source: Alexandria via LeMat-Bulk, functional PBE.

a = 4.804 Å, b = 4.804 Å, c = 4.804 Å
α = 60.00°, β = 60.00°, γ = 60.00°
Each line ends with the local moment (μB).
Positions (direct):
Ru (0.250, 0.250, 0.250)  -0.07
Tb (0.500, 0.500, 0.500)  0.01
Gd (0.000, 0.000, 0.000)  7.05

Summary:
Size of the total moment   7.11 μB per cell
Calculated total energy   -28.8 eV per cell
Space group   F-43m

***

2.
TbGdTlRu after structural relaxation. Source: Alexandria via LeMat-Bulk, functional PBE.

a = 5.117 Å, b = 5.117 Å, c = 5.117 Å
α = 60.00°, β = 60.00°, γ = 60.00°
Each line ends with the local moment (μB).
Positions (direct):
Ru (0.000, 0.000, 0.000)  -0.12
Tl (0.500, 0.500, 0.500)  0.00
Tb (0.750, 0.750, 0.750)  0.02
Gd (0.250, 0.250, 0.250)  7.02

Summary:
Size of the total moment   7.06 μB per cell
Calculated total energy   -31.3 eV per cell
Space group   F-43m

***

3.
TbGdZnRu after structural relaxation. Source: Alexandria via LeMat-Bulk, functional PBE.

a = 4.948 Å, b = 4.948 Å, c = 4.948 Å
α = 60.00°, β = 60.00°, γ = 60.00°
Each line ends with the local moment (μB).
Positions (direct):
Gd (0.000, 0.000, 0.000)  7.03
Tb (0.500, 0.500, 0.500)  0.02
Ru (0.750, 0.750, 0.750)  -0.10
Zn (0.250, 0.250, 0.250)  0.00

Summary:
Size of the total moment   7.07 μB per cell
Calculated total energy   -30.6 eV per cell
Space group   F-43m

***

4.
GdTmTcRu after structural relaxation. Source: Alexandria via LeMat-Bulk, functional PBE.

a = 4.814 Å, b = 4.814 Å, c = 4.814 Å
α = 60.00°, β = 60.00°, γ = 60.00°
Each line ends with the local moment (μB).
Positions (direct):
Ru (0.500, 0.500, 0.500)  -0.29
Tc (0.000, 0.000, 0.000)  -0.52
Tm (0.250, 0.250, 0.250)  -0.02
Gd (0.750, 0.750, 0.750)  6.99

Summary:
Size of the total moment   6.19 μB per cell
Calculated total energy   -38.4 eV per cell
Space group   F-43m

***

Q: What is the size of the total moment in the first record?
A: 7.11 μB per cell